[1]
{
  "formula": "TlRe3Ni",
  "functional": "PBE",
  "state": "optimized geometry",
  "crystal_system": "cubic",
  "sg": "Pm-3m (221)",
  "formation_enthalpy_0k_mev_per_atom": 1841,
  "dos_at_fermi_per_ev_fu": 11.60,
  "magnetic_moment_mub_per_cell": 0.0,
  "lattice_angstrom": [[4.498, 0.000, 0.000], [0.000, 4.498, 0.000], [0.000, 0.000, 4.498]],
  "species": ["Tl", "Re", "Re", "Re", "Ni"],
  "fractional_positions": [[0.000, 0.000, 0.000], [0.000, 0.500, 0.500], [0.500, 0.000, 0.500], [0.500, 0.500, 0.000], [0.500, 0.500, 0.500]]
}

[2]
{
  "formula": "Tl2ReNi",
  "functional": "PBE",
  "state": "optimized geometry",
  "crystal_system": "orthorhombic",
  "sg": "Pmm2 (25)",
  "formation_enthalpy_0k_mev_per_atom": 619,
  "dos_at_fermi_per_ev_fu": 3.63,
  "magnetic_moment_mub_per_cell": 0.0,
  "lattice_angstrom": [[2.859, 0.000, 0.000], [0.000, 3.631, 0.000], [0.000, 0.000, 8.067]],
  "species": ["Tl", "Tl", "Re", "Ni"],
  "fractional_positions": [[0.000, 0.000, 0.000], [0.500, 0.500, 0.358], [0.500, 0.500, 0.736], [0.000, 0.000, 0.618]]
}

[3]
{
  "formula": "TlReNi2",
  "functional": "PBE",
  "state": "optimized geometry",
  "crystal_system": "cubic",
  "sg": "Fm-3m (225)",
  "formation_enthalpy_0k_mev_per_atom": 607,
  "dos_at_fermi_per_ev_fu": 3.12,
  "magnetic_moment_mub_per_cell": 6.9,
  "lattice_angstrom": [[6.163, 0.000, 0.000], [0.000, 6.163, 0.000], [0.000, 0.000, 6.163]],
  "species": ["Tl", "Tl", "Tl", "Tl", "Re", "Re", "Re", "Re", "Ni", "Ni", "Ni", "Ni", "Ni", "Ni", "Ni", "Ni"],
  "fractional_positions": [[0.000, 0.000, 0.000], [0.000, 0.500, 0.500], [0.500, 0.000, 0.500], [0.500, 0.500, 0.000], [0.000, 0.000, 0.500], [0.000, 0.500, 0.000], [0.500, 0.000, 0.000], [0.500, 0.500, 0.500], [0.250, 0.250, 0.250], [0.250, 0.250, 0.750], [0.250, 0.750, 0.250], [0.250, 0.750, 0.750], [0.750, 0.250, 0.250], [0.750, 0.250, 0.750], [0.750, 0.750, 0.250], [0.750, 0.750, 0.750]]
}

[4]
{
  "formula": "Tl2ReNi",
  "functional": "PBE",
  "state": "optimized geometry",
  "crystal_system": "tetragonal",
  "sg": "P4mm (99)",
  "formation_enthalpy_0k_mev_per_atom": 551,
  "dos_at_fermi_per_ev_fu": 2.60,
  "magnetic_moment_mub_per_cell": 0.0,
  "lattice_angstrom": [[2.932, 0.000, 0.000], [0.000, 2.932, 0.000], [0.000, 0.000, 9.825]],
  "species": ["Tl", "Tl", "Re", "Ni"],
  "fractional_positions": [[0.000, 0.000, 0.000], [0.500, 0.500, 0.370], [0.500, 0.500, 0.749], [0.000, 0.000, 0.607]]
}

[5]
{
  "formula": "Tl2ReNi",
  "functional": "PBE",
  "state": "optimized geometry",
  "crystal_system": "orthorhombic",
  "sg": "Pmmm (47)",
  "formation_enthalpy_0k_mev_per_atom": 907,
  "dos_at_fermi_per_ev_fu": 4.32,
  "magnetic_moment_mub_per_cell": 0.0,
  "lattice_angstrom": [[3.242, 0.000, 0.000], [0.000, 3.388, 0.000], [0.000, 0.000, 6.482]],
  "species": ["Tl", "Tl", "Re", "Ni"],
  "fractional_positions": [[0.000, 0.000, 0.239], [0.000, 0.000, 0.761], [0.500, 0.500, 0.500], [0.500, 0.500, 0.000]]
}

[6]
{
  "formula": "TlReNi2",
  "functional": "PBE",
  "state": "optimized geometry",
  "crystal_system": "trigonal",
  "sg": "R3m (160)",
  "formation_enthalpy_0k_mev_per_atom": 638,
  "dos_at_fermi_per_ev_fu": 5.21,
  "magnetic_moment_mub_per_cell": 0.0,
  "lattice_angstrom": [[2.886, 0.000, 0.000], [-1.443, 2.500, 0.000], [0.000, 0.000, 25.426]],
  "species": ["Tl", "Tl", "Tl", "Re", "Re", "Re", "Ni", "Ni", "Ni", "Ni", "Ni", "Ni"],
  "fractional_positions": [[0.000, 0.000, 0.000], [0.333, 0.667, 0.667], [0.667, 0.333, 0.333], [0.000, 0.000, 0.234], [0.333, 0.667, 0.901], [0.667, 0.333, 0.567], [0.000, 0.000, 0.493], [0.000, 0.000, 0.753], [0.333, 0.667, 0.160], [0.333, 0.667, 0.420], [0.667, 0.333, 0.086], [0.667, 0.333, 0.826]]
}